1.
Entry from Alexandria: an optimized crystal structure of Cd4InAg (PBE).

Geometry as POSCAR:
```
Cd4InAg
1.0
6.164 -0.288 -1.335
-3.320 5.201 -1.336
-0.115 -0.198 8.851
Cd Ag In
8 2 2
Cartesian
4.855 0.475 2.347
2.452 1.671 3.849
0.285 3.058 -0.576
-2.064 4.347 6.772
-2.126 4.240 3.833
0.277 3.044 2.331
2.444 1.657 6.756
4.793 0.368 -0.592
2.556 1.734 0.877
0.173 2.981 5.303
4.951 0.215 5.303
-2.222 4.500 0.877
```

## Properties
ρ = 8.211 g/cm³
Distance to the lowest polymorph of the same formula = 0.00 eV per formula unit
SG = C2/c
Formation energy from the elements = 8.7 meV per atom

2.
Entry from Alexandria: an optimized crystal structure of CdIn3Ag2 (PBE).

Geometry as POSCAR:
```
CdIn3Ag2
1.0
-8.402 5.028 0.610
-3.759 -5.531 -6.177
4.772 -7.687 3.980
Ag In Cd
8 12 4
Cartesian
-8.279 -4.129 -3.436
-5.066 -3.293 1.112
-2.322 -4.898 -2.699
-6.878 0.558 -1.778
-0.511 -8.749 0.190
0.891 -4.061 1.848
-5.014 -7.517 -1.845
-2.374 -0.673 0.258
-1.963 -7.768 -2.236
-3.711 -2.584 -1.594
-5.835 2.665 0.090
-3.438 -6.595 -4.877
-3.950 -1.595 3.290
-3.678 -5.606 0.007
-6.863 -2.617 -1.263
-1.553 -10.855 -1.678
-8.369 -1.144 -3.623
-5.426 -0.422 0.649
-0.526 -5.573 -0.324
0.980 -7.046 2.036
-6.793 -5.592 -0.182
-0.596 -2.599 -1.406
-5.393 -4.873 -3.159
-1.996 -3.317 1.571
```

## Properties
ρ = 8.203 g/cm³
SG = P2_1/c
Formation energy from the elements = 27.2 meV per atom

Question: Which of these has the lowest ρ?
Answer: CdIn3Ag2

What did the second record say?
Entry from Alexandria: an optimized crystal structure of CdIn3Ag2 (PBE).

Geometry as POSCAR:
```
CdIn3Ag2
1.0
-8.402 5.028 0.610
-3.759 -5.531 -6.177
4.772 -7.687 3.980
Ag In Cd
8 12 4
Cartesian
-8.279 -4.129 -3.436
-5.066 -3.293 1.112
-2.322 -4.898 -2.699
-6.878 0.558 -1.778
-0.511 -8.749 0.190
0.891 -4.061 1.848
-5.014 -7.517 -1.845
-2.374 -0.673 0.258
-1.963 -7.768 -2.236
-3.711 -2.584 -1.594
-5.835 2.665 0.090
-3.438 -6.595 -4.877
-3.950 -1.595 3.290
-3.678 -5.606 0.007
-6.863 -2.617 -1.263
-1.553 -10.855 -1.678
-8.369 -1.144 -3.623
-5.426 -0.422 0.649
-0.526 -5.573 -0.324
0.980 -7.046 2.036
-6.793 -5.592 -0.182
-0.596 -2.599 -1.406
-5.393 -4.873 -3.159
-1.996 -3.317 1.571
```

## Properties
ρ = 8.203 g/cm³
SG = P2_1/c
Formation energy from the elements = 27.2 meV per atom

Question: Among the records above, which one has the highest formation energy from the elements?
Answer: CdIn3Ag2

Question: What is the formula in the first record?
Answer: Cd4InAg